VASP calculation (PBE) on crystalline Zn2SiIr at its relaxed geometry.

CIF file:
```
data_Zn2SiIr
_space_group_name_H-M_alt 'P 1'
_space_group_IT_number 1
_cell_length_a 2.829
_cell_length_b 2.829
_cell_length_c 8.657
_cell_angle_alpha 90.00
_cell_angle_beta 90.00
_cell_angle_gamma 119.92
loop_
_space_group_symop_operation_xyz
'x,y,z'
loop_
_atom_site_label
_atom_site_fract_x
_atom_site_fract_y
_atom_site_fract_z
_atom_site_occupancy
Zn1 0.000 0.000 0.000 1
Zn2 0.500 0.500 0.257 1
Si1 0.000 0.000 0.517 1
Ir1 0.500 0.500 0.741 1
```

Properties
- uncorrected formation energy (eV/atom) = 0.05

***

VASP calculation (PBE) on crystalline Ge2PdPb2 at its relaxed geometry.

CIF file:
```
data_Ge2PdPb2
_space_group_name_H-M_alt 'P 1'
_space_group_IT_number 1
_cell_length_a 6.627
_cell_length_b 6.627
_cell_length_c 5.273
_cell_angle_alpha 90.00
_cell_angle_beta 90.00
_cell_angle_gamma 90.00
loop_
_space_group_symop_operation_xyz
'x,y,z'
loop_
_atom_site_label
_atom_site_fract_x
_atom_site_fract_y
_atom_site_fract_z
_atom_site_occupancy
Ge1 0.138 0.362 0.000 1
Ge2 0.362 0.862 0.000 1
Ge3 0.638 0.138 0.000 1
Ge4 0.862 0.638 0.000 1
Pd1 0.000 0.000 0.000 1
Pd2 0.500 0.500 0.000 1
Pb1 0.177 0.677 0.500 1
Pb2 0.323 0.177 0.500 1
Pb3 0.677 0.823 0.500 1
Pb4 0.823 0.323 0.500 1
```

Properties
- E_form (kcal/mol of atoms) = -1.08

***

VASP calculation (PBE) on crystalline NaTl5In4 at its relaxed geometry.

CIF file:
```
data_NaTl5In4
_space_group_name_H-M_alt 'P 1'
_space_group_IT_number 1
_cell_length_a 3.466
_cell_length_b 3.466
_cell_length_c 23.888
_cell_angle_alpha 90.00
_cell_angle_beta 90.00
_cell_angle_gamma 90.00
loop_
_space_group_symop_operation_xyz
'x,y,z'
loop_
_atom_site_label
_atom_site_fract_x
_atom_site_fract_y
_atom_site_fract_z
_atom_site_occupancy
Na1 0.000 0.000 0.000 1
Tl1 0.500 0.500 0.098 1
Tl2 0.500 0.500 0.295 1
Tl3 0.500 0.500 0.500 1
Tl4 0.500 0.500 0.705 1
Tl5 0.500 0.500 0.902 1
In1 0.000 0.000 0.194 1
In2 0.000 0.000 0.397 1
In3 0.000 0.000 0.603 1
In4 0.000 0.000 0.806 1
```

Properties
- E_form (kcal/mol of atoms) = -0.35

***

VASP calculation (PBE) on crystalline NaLa2Si3Pt12 at its relaxed geometry.

CIF file:
```
data_NaLa2Si3Pt12
_space_group_name_H-M_alt 'P 1'
_space_group_IT_number 1
_cell_length_a 7.573
_cell_length_b 7.573
_cell_length_c 7.573
_cell_angle_alpha 67.51
_cell_angle_beta 67.51
_cell_angle_gamma 67.51
loop_
_space_group_symop_operation_xyz
'x,y,z'
loop_
_atom_site_label
_atom_site_fract_x
_atom_site_fract_y
_atom_site_fract_z
_atom_site_occupancy
Na1 0.000 0.000 0.000 1
La1 0.389 0.389 0.389 1
La2 0.611 0.611 0.611 1
Si1 0.000 0.000 0.500 1
Si2 0.000 0.500 0.000 1
Si3 0.500 0.000 0.000 1
Pt1 0.100 0.649 0.649 1
Pt2 0.139 0.139 0.620 1
Pt3 0.139 0.620 0.139 1
Pt4 0.351 0.351 0.900 1
Pt5 0.351 0.900 0.351 1
Pt6 0.380 0.861 0.861 1
Pt7 0.620 0.139 0.139 1
Pt8 0.649 0.100 0.649 1
Pt9 0.649 0.649 0.100 1
Pt10 0.861 0.380 0.861 1
Pt11 0.861 0.861 0.380 1
Pt12 0.900 0.351 0.351 1
```

Properties
- uncorrected formation energy (eV/atom) = -0.47

***

What is the formula in the second record?
Ge2PdPb2